Entry 1:
KSm2CuS6 after structural relaxation, computed with PBE.

Unit cell a=21.975 b=21.687 c=6.764 alpha=83.51 beta=78.68 gamma=17.81
Fractional coordinates of all 40 atoms:
K  0.124  0.626  0.124
K  0.374  0.876  0.374
K  0.626  0.124  0.626
K  0.876  0.374  0.876
Sm  0.033  0.033  0.217
Sm  0.217  0.217  0.033
Sm  0.285  0.285  0.465
Sm  0.465  0.465  0.285
Sm  0.535  0.535  0.715
Sm  0.715  0.715  0.535
Sm  0.783  0.783  0.967
Sm  0.967  0.967  0.783
Cu  0.210  0.210  0.540
Cu  0.460  0.460  0.790
Cu  0.540  0.540  0.210
Cu  0.790  0.790  0.460
S  0.006  0.519  0.242
S  0.016  0.325  0.428
S  0.074  0.780  0.481
S  0.165  0.481  0.780
S  0.220  0.926  0.835
S  0.242  0.732  0.006
S  0.268  0.758  0.481
S  0.269  0.572  0.675
S  0.325  0.016  0.731
S  0.428  0.731  0.016
S  0.481  0.165  0.074
S  0.481  0.994  0.268
S  0.519  0.006  0.732
S  0.519  0.835  0.926
S  0.572  0.269  0.984
S  0.675  0.984  0.269
S  0.731  0.428  0.325
S  0.732  0.242  0.519
S  0.758  0.268  0.994
S  0.780  0.074  0.165
S  0.835  0.519  0.220
S  0.926  0.220  0.519
S  0.984  0.675  0.572
S  0.994  0.481  0.758

Output
- total energy (eV/atom) = -5.209
- density (g/cm3) = 4.223
- SG = Fddd (70)

Entry 2:
PrBi2 after structural relaxation, computed with PBE.

Unit cell a=5.664 b=5.664 c=3.381 alpha=90.00 beta=90.00 gamma=120.00
Fractional coordinates of all 3 atoms:
Pr  0.000  0.000  0.000
Bi  0.333  0.667  0.500
Bi  0.667  0.333  0.500

Output
- total energy (eV/atom) = -4.694
- density (g/cm3) = 9.878
- SG = P6/mmm (191)

Entry 3:
Rb2TmNbO4 after structural relaxation, computed with PBE.

Unit cell a=3.316 b=3.316 c=12.836 alpha=90.00 beta=90.00 gamma=120.00
Fractional coordinates of all 8 atoms:
Rb  0.333  0.667  0.246
Rb  0.667  0.333  0.754
Tm  0.000  0.000  0.500
Nb  0.000  0.000  0.000
O  0.333  0.667  0.591
O  0.333  0.667  0.914
O  0.667  0.333  0.086
O  0.667  0.333  0.409

Output
- total energy (eV/atom) = -6.739
- density (g/cm3) = 6.748
- SG = P-3m1 (164)

Entry 4:
HfHgSb2 after structural relaxation, computed with PBE.

Unit cell a=5.166 b=5.166 c=5.166 alpha=60.00 beta=60.00 gamma=60.00
Fractional coordinates of all 4 atoms:
Hf  0.000  0.000  0.000
Hg  0.750  0.750  0.750
Sb  0.250  0.250  0.250
Sb  0.500  0.500  0.500

Output
- total energy (eV/atom) = -4.397
- density (g/cm3) = 10.604
- SG = F-43m (216)

Entry 5:
TbGePO after structural relaxation, computed with PBE.

Unit cell a=3.748 b=6.085 c=6.895 alpha=90.00 beta=90.00 gamma=90.00
Fractional coordinates of all 8 atoms:
Tb  0.000  0.231  0.000
Tb  0.000  0.769  0.500
Ge  0.500  0.384  0.594
Ge  0.500  0.616  0.094
P  0.000  0.232  0.420
P  0.000  0.768  0.920
O  0.500  0.224  0.832
O  0.500  0.776  0.332

Output
- total energy (eV/atom) = -6.290
- density (g/cm3) = 5.882
- energy above the lowest structure with this stoichiometry (eV per formula unit) = 0.24
- SG = Pmc2_1 (26)

Entry 6:
YTmZn2Si2 after structural relaxation, computed with PBE.

Unit cell a=4.130 b=4.130 c=15.630 alpha=90.00 beta=90.00 gamma=120.00
Fractional coordinates of all 12 atoms:
Y  0.000  0.000  0.000
Y  0.000  0.000  0.500
Tm  0.000  0.000  0.250
Tm  0.000  0.000  0.750
Zn  0.333  0.667  0.140
Zn  0.333  0.667  0.360
Zn  0.667  0.333  0.640
Zn  0.667  0.333  0.860
Si  0.333  0.667  0.621
Si  0.333  0.667  0.879
Si  0.667  0.333  0.121
Si  0.667  0.333  0.379

Output
- total energy (eV/atom) = -4.681
- density (g/cm3) = 6.399
- energy above the lowest structure with this stoichiometry (eV per formula unit) = 0.00
- SG = P6_3/mmc (194)

Entry 7:
Dy3In3Ag2Pt after structural relaxation, computed with PBE.

Unit cell a=7.734 b=7.734 c=3.951 alpha=90.00 beta=90.00 gamma=120.00
Fractional coordinates of all 9 atoms:
Dy  0.000  0.603  0.000
Dy  0.397  0.397  0.000
Dy  0.603  0.000  0.000
In  0.000  0.259  0.500
In  0.259  0.000  0.500
In  0.741  0.741  0.500
Ag  0.333  0.667  0.500
Ag  0.667  0.333  0.500
Pt  0.000  0.000  0.000

Output
- total energy (eV/atom) = -4.344
- density (g/cm3) = 10.084
- SG = P-62m (189)

Entry 8:
La2PrGaBr3 after structural relaxation, computed with PBE.

Unit cell a=6.116 b=6.116 c=6.093 alpha=90.00 beta=90.00 gamma=90.00
Fractional coordinates of all 7 atoms:
La  0.000  0.500  0.000
La  0.500  0.000  0.000
Pr  0.000  0.000  0.500
Ga  0.000  0.000  0.000
Br  0.000  0.500  0.500
Br  0.500  0.000  0.500
Br  0.500  0.500  0.000

Output
- total energy (eV/atom) = -4.618
- density (g/cm3) = 5.306
- SG = P4/mmm (123)

Entry 9:
BaAgTeO after structural relaxation, computed with PBE.

Unit cell a=7.077 b=4.570 c=13.847 alpha=90.00 beta=90.00 gamma=90.00
Fractional coordinates of all 16 atoms:
Ba  0.229  0.250  0.098
Ba  0.271  0.750  0.598
Ba  0.729  0.250  0.402
Ba  0.771  0.750  0.902
Ag  0.122  0.250  0.788
Ag  0.378  0.750  0.288
Ag  0.622  0.250  0.712
Ag  0.878  0.750  0.212
Te  0.228  0.250  0.385
Te  0.272  0.750  0.885
Te  0.728  0.250  0.115
Te  0.772  0.750  0.615
O  0.172  0.750  0.172
O  0.328  0.250  0.672
O  0.672  0.750  0.328
O  0.828  0.250  0.828

Output
- total energy (eV/atom) = -4.258
- density (g/cm3) = 5.767
- SG = Pnma (62)

Entry 10:
K3Ta2Ag3S8 after structural relaxation, computed with PBE.

Unit cell a=12.762 b=12.762 c=14.182 alpha=118.97 beta=118.97 gamma=27.10
Fractional coordinates of all 32 atoms:
K  0.000  0.000  0.000
K  0.000  0.000  0.500
K  0.238  0.371  0.898
K  0.371  0.238  0.398
K  0.629  0.762  0.602
K  0.762  0.629  0.102
Ta  0.163  0.579  0.220
Ta  0.421  0.837  0.280
Ta  0.579  0.163  0.720
Ta  0.837  0.421  0.780
Ag  0.079  0.663  0.711
Ag  0.294  0.706  0.250
Ag  0.337  0.921  0.789
Ag  0.663  0.079  0.211
Ag  0.706  0.294  0.750
Ag  0.921  0.337  0.289
S  0.013  0.187  0.886
S  0.092  0.226  0.683
S  0.187  0.013  0.386
S  0.226  0.092  0.183
S  0.282  0.291  0.607
S  0.291  0.282  0.107
S  0.443  0.462  0.848
S  0.462  0.443  0.348
S  0.538  0.557  0.652
S  0.557  0.538  0.152
S  0.709  0.718  0.893
S  0.718  0.709  0.393
S  0.774  0.908  0.817
S  0.813  0.987  0.614
S  0.908  0.774  0.317
S  0.987  0.813  0.114

Output
- total energy (eV/atom) = -5.197
- density (g/cm3) = 3.856
- SG = C2/c (15)

Entry 11:
CsRbCuHgSb2 after structural relaxation, computed with PBE.

Unit cell a=4.702 b=4.702 c=11.697 alpha=90.00 beta=90.00 gamma=120.00
Fractional coordinates of all 6 atoms:
Cs  0.000  0.000  0.000
Rb  0.000  0.000  0.474
Cu  0.333  0.667  0.246
Hg  0.667  0.333  0.724
Sb  0.333  0.667  0.731
Sb  0.667  0.333  0.245

Output
- total energy (eV/atom) = -2.576
- density (g/cm3) = 5.382
- SG = P3m1 (156)

Entry 12:
RbAlTc after structural relaxation, computed with PBE.

Unit cell a=4.760 b=4.760 c=4.760 alpha=60.00 beta=60.00 gamma=60.00
Fractional coordinates of all 3 atoms:
Rb  0.000  0.000  0.000
Al  0.500  0.500  0.500
Tc  0.750  0.750  0.750

Output
- total energy (eV/atom) = -3.507
- density (g/cm3) = 4.584
- energy above the lowest structure with this stoichiometry (eV per formula unit) = 0.00
- SG = F-43m (216)